[1]
A plane-wave DFT calculation with PBE was carried out for an optimized crystal structure of InAg3Hg.

Computed properties:
The formation energy is 0.53 eV/atom. As for the space group: Pm-3m. The calculation puts the density at 7.20 g/cm³. The value obtained for the total energy is -8.925 eV/cell. The energy above the most stable polymorph in this dataset comes out at 522 meV/atom.

a = 5.2823 Å, b = 5.2823 Å, c = 5.2823 Å
α = 90.00°, β = 90.00°, γ = 90.00°
Last column: nearest neighbours and their distance in Å.
Sites, in units of the cell vectors:
In 0.0000 0.0000 0.0000  12 Ag 3.74
Ag 0.0000 0.5000 0.5000  2 Hg 2.64
Ag 0.5000 0.0000 0.5000  2 Hg 2.64
Ag 0.5000 0.5000 0.0000  2 Hg 2.64
Hg 0.5000 0.5000 0.5000  6 Ag 2.64

[2]
A plane-wave DFT calculation with PBE was carried out for an optimized crystal structure of Ac2La3PrSb6.

Computed properties:
The value obtained for the uncorrected formation energy is -1235 meV per atom. As for the space group: C2/m. The calculation puts the density at 6.67 g/cm³. The value obtained for the total energy is -67.335 eV/cell.

a = 8.0998 Å, b = 8.0998 Å, c = 8.0965 Å
α = 99.60°, β = 99.60°, γ = 119.99°
Last column: nearest neighbours and their distance in Å.
Sites, in units of the cell vectors:
Ac 0.1660 0.8340 0.0000  6 Sb 3.35-3.36
Ac 0.8340 0.1660 0.0000  6 Sb 3.35-3.36
La 0.0000 0.0000 0.5000  6 Sb 3.26-3.33
La 0.3316 0.6684 0.5000  6 Sb 3.26-3.31
La 0.6684 0.3316 0.5000  6 Sb 3.26-3.31
Pr 0.5000 0.5000 0.0000  6 Sb 3.28-3.29
Sb 0.0887 0.4151 0.7447  3 La 3.26-3.31, 1 Pr 3.28, 2 Ac 3.35-3.36
Sb 0.2598 0.2598 0.2572  3 La 3.27-3.33, 1 Pr 3.29, 2 Ac 3.36
Sb 0.4151 0.0887 0.7447  3 La 3.26-3.31, 1 Pr 3.28, 2 Ac 3.35-3.36
Sb 0.5849 0.9113 0.2553  3 La 3.26-3.31, 1 Pr 3.28, 2 Ac 3.35-3.36
Sb 0.7402 0.7402 0.7428  3 La 3.27-3.33, 1 Pr 3.29, 2 Ac 3.36
Sb 0.9113 0.5849 0.2553  3 La 3.26-3.31, 1 Pr 3.28, 2 Ac 3.35-3.36

[3]
A plane-wave DFT calculation with PBE was carried out for an optimized crystal structure of Pu3Tl4AgO12.

Computed properties:
The value obtained for the uncorrected formation energy is -1796 meV per atom. As for the space group: Im-3m. The calculation puts the density at 9.29 g/cm³. The value obtained for the total energy is -150.741 eV/cell.

a = 7.5452 Å, b = 7.5452 Å, c = 7.5452 Å
α = 109.47°, β = 109.47°, γ = 109.47°
Last column: nearest neighbours and their distance in Å.
Sites, in units of the cell vectors:
Pu 0.0000 0.5000 0.5000  2 O 1.89
Pu 0.5000 0.0000 0.5000  2 O 1.89
Pu 0.5000 0.5000 0.0000  2 O 1.89
Tl 0.0000 0.0000 0.5000  12 O 3.08-3.09
Tl 0.0000 0.5000 0.0000  12 O 3.08-3.09
Tl 0.5000 0.0000 0.0000  12 O 3.08-3.09
Tl 0.5000 0.5000 0.5000  12 O 3.08-3.09
Ag 0.0000 0.0000 0.0000  6 O 2.47
O 0.0000 0.2835 0.2835  1 Pu 1.89
O 0.0000 0.7165 0.7165  1 Pu 1.89
O 0.2500 0.5000 0.7500  2 Pu 2.18
O 0.2500 0.7500 0.5000  2 Pu 2.18
O 0.2835 0.0000 0.2835  1 Pu 1.89
O 0.2835 0.2835 0.0000  1 Pu 1.89
O 0.5000 0.2500 0.7500  2 Pu 2.18
O 0.5000 0.7500 0.2500  2 Pu 2.18
O 0.7165 0.0000 0.7165  1 Pu 1.89
O 0.7165 0.7165 0.0000  1 Pu 1.89
O 0.7500 0.2500 0.5000  2 Pu 2.18
O 0.7500 0.5000 0.2500  2 Pu 2.18

[4]
A plane-wave DFT calculation with PBE was carried out for an optimized crystal structure of Dy5CdCo2.

Computed properties:
The formation energy is -0.22 eV/atom. As for the space group: I4/mcm. The calculation puts the density at 8.94 g/cm³. The value obtained for the total energy is -79.721 eV/cell.

a = 8.5587 Å, b = 8.5587 Å, c = 8.5587 Å
α = 126.97°, β = 126.97°, γ = 78.29°
Last column: nearest neighbours and their distance in Å.
Sites, in units of the cell vectors:
Dy 0.0000 0.0000 0.0000  4 Co 2.96, 2 Cd 3.32
Dy 0.0283 0.5283 0.8195  3 Co 2.81-2.87
Dy 0.2088 0.0283 0.5000  3 Co 2.81-2.87
Dy 0.2912 0.7912 0.8195  3 Co 2.81-2.87
Dy 0.4717 0.2912 0.5000  3 Co 2.81-2.87
Dy 0.5000 0.5000 0.0000  4 Co 2.96, 2 Cd 3.32
Dy 0.5283 0.7088 0.5000  3 Co 2.81-2.87
Dy 0.7088 0.2088 0.1805  3 Co 2.81-2.87
Dy 0.7912 0.9717 0.5000  3 Co 2.81-2.87
Dy 0.9717 0.4717 0.1805  3 Co 2.81-2.87
Cd 0.2500 0.2500 0.0000  10 Dy 3.28-3.32
Cd 0.7500 0.7500 0.0000  10 Dy 3.28-3.32
Co 0.1370 0.3630 0.5000  8 Dy 2.81-2.96, 1 Co 2.96
Co 0.3630 0.8630 0.2260  8 Dy 2.81-2.96, 1 Co 2.96
Co 0.6370 0.1370 0.7740  8 Dy 2.81-2.96, 1 Co 2.96
Co 0.8630 0.6370 0.5000  8 Dy 2.81-2.96, 1 Co 2.96

[5]
A plane-wave DFT calculation with PBE was carried out for an optimized crystal structure of Tb3ThNi2.

Computed properties:
The formation energy is -0.27 eV/atom. As for the space group: C2/m. The calculation puts the density at 9.10 g/cm³. The value obtained for the total energy is -68.954 eV/cell.

a = 8.3987 Å, b = 8.3987 Å, c = 11.4210 Å
α = 122.49°, β = 122.49°, γ = 26.67°
Last column: nearest neighbours and their distance in Å.
Sites, in units of the cell vectors:
Tb 0.0788 0.0788 0.4419  3 Ni 2.84-3.09
Tb 0.0799 0.0799 0.9399  3 Ni 2.83-3.05
Tb 0.3465 0.3465 0.2508  4 Ni 2.78-3.09
Tb 0.6535 0.6535 0.7492  4 Ni 2.78-3.09
Tb 0.9201 0.9201 0.0601  3 Ni 2.83-3.05
Tb 0.9212 0.9212 0.5581  3 Ni 2.84-3.09
Th 0.3438 0.3438 0.7483  3 Ni 2.74-2.98
Th 0.6562 0.6562 0.2517  3 Ni 2.74-2.98
Ni 0.2688 0.2688 0.4437  2 Ni 2.58, 2 Th 2.74, 2 Tb 2.84
Ni 0.2693 0.2693 0.9473  2 Ni 2.54, 4 Tb 2.78-2.83
Ni 0.7307 0.7307 0.0527  2 Ni 2.54, 4 Tb 2.78-2.83
Ni 0.7312 0.7312 0.5563  2 Ni 2.58, 2 Th 2.74, 2 Tb 2.84

[6]
A plane-wave DFT calculation with PBE was carried out for an optimized crystal structure of MoPBr.

Computed properties:
The value obtained for the uncorrected formation energy is 309 meV per atom. As for the space group: Fmm2. The calculation puts the density at 5.37 g/cm³. The value obtained for the total energy is -16.986 eV/cell. The energy above the most stable polymorph in this dataset comes out at 342 meV/atom.

a = 7.2451 Å, b = 6.9465 Å, c = 3.2284 Å
α = 82.07°, β = 71.74°, γ = 26.19°
Last column: nearest neighbours and their distance in Å.
Sites, in units of the cell vectors:
Mo 0.0000 0.0000 0.0000  2 P 2.31
P 0.6111 0.6111 0.3889  2 Mo 2.31
Br 0.3456 0.3456 0.6544  2 Mo 2.72

[7]
A plane-wave DFT calculation with PBE was carried out for an optimized crystal structure of BHPd2.

Computed properties:
As for the space group: Fm-3m. The calculation puts the density at 9.26 g/cm³. The value obtained for the total energy is -19.149 eV/cell. The energy above the most stable polymorph in this dataset comes out at 203 meV/atom.

a = 3.8473 Å, b = 3.8473 Å, c = 3.8473 Å
α = 60.00°, β = 60.00°, γ = 60.00°
Last column: nearest neighbours and their distance in Å.
Sites, in units of the cell vectors:
B 0.0000 0.0000 0.0000  8 Pd 2.36
H 0.5000 0.5000 0.5000  8 Pd 2.36
Pd 0.2500 0.2500 0.2500  4 H 2.36, 4 B 2.36
Pd 0.7500 0.7500 0.7500  4 H 2.36, 4 B 2.36

[8]
A plane-wave DFT calculation with PBE was carried out for an optimized crystal structure of Th2VCd.

Computed properties:
The formation energy is 0.15 eV/atom. As for the space group: P4/mmm. The calculation puts the density at 9.89 g/cm³. The value obtained for the total energy is -24.257 eV/cell. The energy above the most stable polymorph in this dataset comes out at 0 meV/atom.

a = 3.5164 Å, b = 3.5164 Å, c = 8.5202 Å
α = 90.00°, β = 90.00°, γ = 90.00°
Last column: nearest neighbours and their distance in Å.
Sites, in units of the cell vectors:
Th 0.0000 0.0000 0.2188  4 V 3.11, 4 Cd 3.45
Th 0.0000 0.0000 0.7812  4 V 3.11, 4 Cd 3.45
V 0.5000 0.5000 0.0000  8 Th 3.11
Cd 0.5000 0.5000 0.5000  8 Th 3.45, 4 Cd 3.52